Density functional theory data (GGA-PBE) for BiRuBrO4 after structural relaxation.

Geometry as CIF:
```
data_BiRuBrO4
_chemical_formula_sum 'Bi4 Ru4 Br4 O16'
_cell_length_a 11.2331
_cell_length_b 7.3080
_cell_length_c 7.1917
_cell_angle_alpha 90.00
_cell_angle_beta 102.99
_cell_angle_gamma 90.00
_symmetry_space_group_name_H-M 'C 1 2/m 1'
_symmetry_Int_Tables_number 12
loop_
_symmetry_equiv_pos_as_xyz
'x,y,z'
'-x,-y,-z'
'-x,y,-z'
'x,-y,z'
'x+1/2,y+1/2,z'
'-x+1/2,-y+1/2,-z'
'-x+1/2,y+1/2,-z'
'x+1/2,-y+1/2,z'
loop_
_atom_site_label
_atom_site_fract_x
_atom_site_fract_y
_atom_site_fract_z
Bi1 0.2139 0.0000 0.0798
Ru1 0.1317 0.5000 0.2754
Br1 0.0276 0.0000 0.7596
O1 0.0254 0.5000 0.7739
O2 0.1911 0.3307 0.1223
O3 0.2224 0.5000 0.5026
```

## Properties
total energy = -5.78 eV per atom
total magnetic moment = 0.00 μB/f.u.
theoretical density = 5.242 Mg/m³


Density functional theory data (GGA-PBE) for BiRu2BrO after structural relaxation.

Geometry as CIF:
```
data_BiRu2BrO
_chemical_formula_sum 'Bi1 Ru2 Br1 O1'
_cell_length_a 5.2249
_cell_length_b 5.2249
_cell_length_c 4.3307
_cell_angle_alpha 90.00
_cell_angle_beta 90.00
_cell_angle_gamma 90.00
_symmetry_space_group_name_H-M 'P 4/m m m'
_symmetry_Int_Tables_number 123
_symmetry_space_group_name_Hall '-P 4 2'
loop_
_atom_site_label
_atom_site_fract_x
_atom_site_fract_y
_atom_site_fract_z
Bi1 0.0000 0.0000 0.0000
Ru1 0.0000 0.5000 0.0000
Br1 0.5000 0.5000 0.5000
O1 0.0000 0.0000 0.5000
```

## Properties
total energy = -4.60 eV per atom
total magnetic moment = 4.01 μB/f.u.
theoretical density = 7.121 Mg/m³


Density functional theory data (GGA-PBE) for Bi2SBr2O after structural relaxation.

Geometry as CIF:
```
data_Bi2SBr2O
_chemical_formula_sum 'Bi4 S2 Br4 O2'
_cell_length_a 4.0088
_cell_length_b 11.3832
_cell_length_c 7.7811
_cell_angle_alpha 90.00
_cell_angle_beta 90.00
_cell_angle_gamma 90.00
_symmetry_space_group_name_H-M 'P m c 21'
_symmetry_Int_Tables_number 26
loop_
_symmetry_equiv_pos_as_xyz
'x,y,z'
'-x,-y,z+1/2'
'-x,y,z'
'x,-y,z+1/2'
loop_
_atom_site_label
_atom_site_fract_x
_atom_site_fract_y
_atom_site_fract_z
Bi1 0.0000 0.0723 0.0000
Bi2 0.5000 0.2273 0.3607
S1 0.5000 0.0669 0.6193
Br1 0.0000 0.3771 0.5286
Br2 0.5000 0.2782 0.9815
O1 0.0000 0.1266 0.2734
```

## Properties
total energy = -4.15 eV per atom
total magnetic moment = 0.00 μB/f.u.
theoretical density = 5.854 Mg/m³


Density functional theory data (GGA-PBE) for Bi3SbBr2O6 after structural relaxation.

Geometry as CIF:
```
data_Bi3SbBr2O6
_chemical_formula_sum 'Bi6 Sb2 Br4 O12'
_cell_length_a 12.1036
_cell_length_b 6.6324
_cell_length_c 5.8827
_cell_angle_alpha 90.00
_cell_angle_beta 99.71
_cell_angle_gamma 90.00
_symmetry_space_group_name_H-M 'C 1 2/m 1'
_symmetry_Int_Tables_number 12
loop_
_symmetry_equiv_pos_as_xyz
'x,y,z'
'-x,-y,-z'
'-x,y,-z'
'x,-y,z'
'x+1/2,y+1/2,z'
'-x+1/2,-y+1/2,-z'
'-x+1/2,y+1/2,-z'
'x+1/2,-y+1/2,z'
loop_
_atom_site_label
_atom_site_fract_x
_atom_site_fract_y
_atom_site_fract_z
Bi1 0.0000 0.0000 0.0000
Bi2 0.2500 0.2500 0.5000
Sb1 0.0000 0.5000 0.5000
Br1 0.2202 0.0000 0.8862
O1 0.0594 0.2669 0.3034
O2 0.1570 0.5000 0.6731
```

## Properties
total energy = -4.95 eV per atom
total magnetic moment = 0.00 μB/f.u.
theoretical density = 7.167 Mg/m³


Density functional theory data (GGA-PBE) for BiSe2BrO after structural relaxation.

Geometry as CIF:
```
data_BiSe2BrO
_chemical_formula_sum 'Bi1 Se2 Br1 O1'
_cell_length_a 4.3073
_cell_length_b 4.3073
_cell_length_c 5.7912
_cell_angle_alpha 90.00
_cell_angle_beta 90.00
_cell_angle_gamma 90.00
_symmetry_space_group_name_H-M 'P 4/m m m'
_symmetry_Int_Tables_number 123
_symmetry_space_group_name_Hall '-P 4 2'
loop_
_atom_site_label
_atom_site_fract_x
_atom_site_fract_y
_atom_site_fract_z
Bi1 0.0000 0.0000 0.0000
Se1 0.0000 0.5000 0.5000
Br1 0.5000 0.5000 0.0000
O1 0.5000 0.5000 0.5000
```

## Properties
total energy = -3.33 eV per atom
total magnetic moment = 0.00 μB/f.u.
theoretical density = 7.153 Mg/m³


Density functional theory data (GGA-PBE) for Bi6Se3Br2O14 after structural relaxation.

Geometry as CIF:
```
data_Bi6Se3Br2O14
_chemical_formula_sum 'Bi12 Se6 Br4 O28'
_cell_length_a 7.2455
_cell_length_b 11.2889
_cell_length_c 12.5068
_cell_angle_alpha 66.36
_cell_angle_beta 81.41
_cell_angle_gamma 77.60
_symmetry_space_group_name_H-M 'P -1'
_symmetry_Int_Tables_number 2
loop_
_symmetry_equiv_pos_as_xyz
'x,y,z'
'-x,-y,-z'
loop_
_atom_site_label
_atom_site_fract_x
_atom_site_fract_y
_atom_site_fract_z
Bi1 0.0461 0.1371 0.3559
Bi2 0.1482 0.7580 0.3954
Bi3 0.2105 0.7908 0.9281
Bi4 0.3072 0.4191 0.0056
Bi5 0.3587 0.0371 0.6206
Bi6 0.4312 0.6823 0.6724
Se1 0.0229 0.5167 0.2013
Se2 0.2637 0.4028 0.5541
Se3 0.3345 0.0485 0.1407
Br1 0.0935 0.1054 0.8383
Br2 0.4243 0.6987 0.1528
O1 0.0703 0.0539 0.5634
O2 0.0728 0.5920 0.0480
O3 0.1336 0.1661 0.1233
O4 0.1594 0.2814 0.5427
O5 0.1770 0.7387 0.5732
O6 0.1837 0.5309 0.8067
O7 0.1901 0.3767 0.2232
O8 0.1979 0.5322 0.4272
O9 0.2231 0.8280 0.7371
O10 0.3108 0.9549 0.2911
O11 0.4123 0.6104 0.9174
O12 0.4722 0.1263 0.4301
O13 0.4941 0.1395 0.1490
O14 0.4941 0.3429 0.5179
```

## Properties
total energy = -5.36 eV per atom
total magnetic moment = 0.00 μB/f.u.
theoretical density = 6.819 Mg/m³


Density functional theory data (GGA-PBE) for BiSe2BrO after structural relaxation.

Geometry as CIF:
```
data_BiSe2BrO
_chemical_formula_sum 'Bi1 Se2 Br1 O1'
_cell_length_a 5.6614
_cell_length_b 5.6614
_cell_length_c 5.6770
_cell_angle_alpha 90.00
_cell_angle_beta 90.00
_cell_angle_gamma 90.00
_symmetry_space_group_name_H-M 'P 4/m m m'
_symmetry_Int_Tables_number 123
_symmetry_space_group_name_Hall '-P 4 2'
loop_
_atom_site_label
_atom_site_fract_x
_atom_site_fract_y
_atom_site_fract_z
Bi1 0.0000 0.0000 0.0000
Se1 0.0000 0.5000 0.0000
Br1 0.0000 0.0000 0.5000
O1 0.5000 0.5000 0.5000
```

## Properties
total energy = -2.71 eV per atom
total magnetic moment = 3.93 μB/f.u.
theoretical density = 4.224 Mg/m³


Density functional theory data (GGA-PBE) for Sr2BiBrO3 after structural relaxation.

Geometry as CIF:
```
data_Sr2BiBrO3
_chemical_formula_sum 'Sr12 Bi6 Br6 O18'
_cell_length_a 7.2559
_cell_length_b 7.2559
_cell_length_c 21.1128
_cell_angle_alpha 90.00
_cell_angle_beta 90.00
_cell_angle_gamma 120.00
_symmetry_space_group_name_H-M 'R -3 m'
_symmetry_Int_Tables_number 166
_symmetry_space_group_name_Hall '-R 3 2"'
loop_
_atom_site_label
_atom_site_fract_x
_atom_site_fract_y
_atom_site_fract_z
Sr1 0.0000 0.0000 0.0000
Sr2 0.0000 0.5000 0.5000
Bi1 0.0000 0.0000 0.4085
Br1 0.0000 0.0000 0.2679
O1 0.0131 0.5065 0.7656
```

## Properties
total energy = -5.29 eV per atom
total magnetic moment = 0.00 μB/f.u.
theoretical density = 5.300 Mg/m³


Density functional theory data (GGA-PBE) for TaBiBrO4 after structural relaxation.

Geometry as CIF:
```
data_TaBiBrO4
_chemical_formula_sum 'Ta4 Bi4 Br4 O16'
_cell_length_a 11.9923
_cell_length_b 6.9485
_cell_length_c 7.2068
_cell_angle_alpha 90.00
_cell_angle_beta 104.22
_cell_angle_gamma 90.00
_symmetry_space_group_name_H-M 'C 1 2/m 1'
_symmetry_Int_Tables_number 12
loop_
_symmetry_equiv_pos_as_xyz
'x,y,z'
'-x,-y,-z'
'-x,y,-z'
'x,-y,z'
'x+1/2,y+1/2,z'
'-x+1/2,-y+1/2,-z'
'-x+1/2,y+1/2,-z'
'x+1/2,-y+1/2,z'
loop_
_atom_site_label
_atom_site_fract_x
_atom_site_fract_y
_atom_site_fract_z
Ta1 0.1309 0.0000 0.2690
Bi1 0.2186 0.0000 0.8376
Br1 0.0170 0.5000 0.6644
O1 0.0282 0.0000 0.7729
O2 0.1807 0.2083 0.1445
O3 0.2019 0.0000 0.5296
```

## Properties
total energy = -7.08 eV per atom
total magnetic moment = 0.00 μB/f.u.
theoretical density = 6.091 Mg/m³


Density functional theory data (GGA-PBE) for TaBi4BrO8 after structural relaxation.

Geometry as CIF:
```
data_TaBi4BrO8
_chemical_formula_sum 'Ta4 Bi16 Br4 O32'
_cell_length_a 5.5440
_cell_length_b 5.6056
_cell_length_c 29.9627
_cell_angle_alpha 90.00
_cell_angle_beta 90.00
_cell_angle_gamma 90.00
_symmetry_space_group_name_H-M 'P b c n'
_symmetry_Int_Tables_number 60
loop_
_symmetry_equiv_pos_as_xyz
'x,y,z'
'-x,-y,-z'
'-x+1/2,-y+1/2,z+1/2'
'x+1/2,y+1/2,-z+1/2'
'x+1/2,-y+1/2,-z'
'-x+1/2,y+1/2,z'
'-x,y,-z+1/2'
'x,-y,z+1/2'
loop_
_atom_site_label
_atom_site_fract_x
_atom_site_fract_y
_atom_site_fract_z
Ta1 0.0000 0.0200 0.2500
Bi1 0.0101 0.0136 0.5721
Bi2 0.0238 0.4437 0.3414
Br1 0.0000 0.5000 0.0000
O1 0.0989 0.0712 0.3135
O2 0.2438 0.2408 0.1093
O3 0.2475 0.2541 0.8919
O4 0.2477 0.3003 0.2355
```

## Properties
total energy = -6.57 eV per atom
total magnetic moment = 0.00 μB/f.u.
theoretical density = 8.736 Mg/m³


Density functional theory data (GGA-PBE) for BiTeBrO4 after structural relaxation.

Geometry as CIF:
```
data_BiTeBrO4
_chemical_formula_sum 'Bi4 Te4 Br4 O16'
_cell_length_a 11.5520
_cell_length_b 7.6393
_cell_length_c 7.4720
_cell_angle_alpha 90.00
_cell_angle_beta 117.26
_cell_angle_gamma 90.00
_symmetry_space_group_name_H-M 'C 1 2/m 1'
_symmetry_Int_Tables_number 12
loop_
_symmetry_equiv_pos_as_xyz
'x,y,z'
'-x,-y,-z'
'-x,y,-z'
'x,-y,z'
'x+1/2,y+1/2,z'
'-x+1/2,-y+1/2,-z'
'-x+1/2,y+1/2,-z'
'x+1/2,-y+1/2,z'
loop_
_atom_site_label
_atom_site_fract_x
_atom_site_fract_y
_atom_site_fract_z
Bi1 0.2237 0.0000 0.2117
Te1 0.1278 0.5000 0.2119
Br1 0.0050 0.0000 0.2568
O1 0.0604 0.5000 0.8974
O2 0.1385 0.5000 0.4716
O3 0.2240 0.3031 0.2216
```

## Properties
total energy = -4.95 eV per atom
total magnetic moment = 0.00 μB/f.u.
theoretical density = 5.445 Mg/m³


Density functional theory data (GGA-PBE) for Bi4Te2Br2O9 after structural relaxation.

Geometry as CIF:
```
data_Bi4Te2Br2O9
_chemical_formula_sum 'Bi4 Te2 Br2 O9'
_cell_length_a 5.6604
_cell_length_b 5.6604
_cell_length_c 10.2677
_cell_angle_alpha 90.00
_cell_angle_beta 90.00
_cell_angle_gamma 90.00
_symmetry_space_group_name_H-M 'P 4 m m'
_symmetry_Int_Tables_number 99
loop_
_symmetry_equiv_pos_as_xyz
'x,y,z'
'-y,x,z'
'-x,-y,z'
'y,-x,z'
'-x,y,z'
'y,x,z'
'x,-y,z'
'-y,-x,z'
loop_
_atom_site_label
_atom_site_fract_x
_atom_site_fract_y
_atom_site_fract_z
Bi1 0.0000 0.0000 0.0000
Bi2 0.0000 0.5000 0.7530
Bi3 0.5000 0.5000 0.9872
Te1 0.0000 0.0000 0.5691
Te2 0.5000 0.5000 0.5017
Br1 0.0000 0.5000 0.1510
O1 0.2402 0.2402 0.5292
O2 0.2440 0.2440 0.8745
O3 0.5000 0.5000 0.6868
```

## Properties
total energy = -5.10 eV per atom
total magnetic moment = 0.00 μB/f.u.
theoretical density = 7.041 Mg/m³


Density functional theory data (GGA-PBE) for Bi4Te2Br2O9 after structural relaxation.

Geometry as CIF:
```
data_Bi4Te2Br2O9
_chemical_formula_sum 'Bi4 Te2 Br2 O9'
_cell_length_a 5.5691
_cell_length_b 5.5691
_cell_length_c 9.7167
_cell_angle_alpha 90.00
_cell_angle_beta 90.00
_cell_angle_gamma 90.00
_symmetry_space_group_name_H-M 'P 4 m m'
_symmetry_Int_Tables_number 99
loop_
_symmetry_equiv_pos_as_xyz
'x,y,z'
'-y,x,z'
'-x,-y,z'
'y,-x,z'
'-x,y,z'
'y,x,z'
'x,-y,z'
'-y,-x,z'
loop_
_atom_site_label
_atom_site_fract_x
_atom_site_fract_y
_atom_site_fract_z
Bi1 0.0000 0.0000 0.0000
Bi2 0.0000 0.5000 0.7331
Bi3 0.5000 0.5000 0.9858
Te1 0.0000 0.0000 0.4394
Te2 0.5000 0.5000 0.4891
Br1 0.0000 0.5000 0.1810
O1 0.2301 0.2301 0.5315
O2 0.2432 0.2432 0.8713
O3 0.5000 0.5000 0.6820
```

## Properties
total energy = -5.22 eV per atom
total magnetic moment = 0.00 μB/f.u.
theoretical density = 7.686 Mg/m³


Density functional theory data (GGA-PBE) for Bi10Te2Br4O17 after structural relaxation.

Geometry as CIF:
```
data_Bi10Te2Br4O17
_chemical_formula_sum 'Bi20 Te4 Br8 O34'
_cell_length_a 5.6041
_cell_length_b 5.6041
_cell_length_c 38.0117
_cell_angle_alpha 90.00
_cell_angle_beta 90.00
_cell_angle_gamma 90.00
_symmetry_space_group_name_H-M 'I 4 m m'
_symmetry_Int_Tables_number 107
_symmetry_space_group_name_Hall 'I 4 -2'
loop_
_atom_site_label
_atom_site_fract_x
_atom_site_fract_y
_atom_site_fract_z
Bi1 0.0000 0.0000 0.0000
Bi2 0.0000 0.0000 0.1121
Bi3 0.0000 0.0000 0.2489
Bi4 0.0000 0.0000 0.4955
Bi5 0.0000 0.0000 0.6120
Bi6 0.0000 0.0000 0.7486
Bi7 0.0000 0.5000 0.1812
Bi8 0.0000 0.5000 0.4317
Te1 0.0000 0.0000 0.3716
Te2 0.0000 0.0000 0.8591
Br1 0.0000 0.5000 0.0495
Br2 0.0000 0.5000 0.3005
O1 0.0000 0.0000 0.4210
O2 0.2300 0.2300 0.8835
O3 0.2423 0.2423 0.9682
O4 0.2500 0.2500 0.1399
O5 0.2500 0.2500 0.2187
```

## Properties
total energy = -5.28 eV per atom
total magnetic moment = 0.00 μB/f.u.
theoretical density = 8.170 Mg/m³